Entry 1:
Density functional theory data (PBE-GGA) for crystalline ThCu6Si2 at its relaxed geometry.

The calculation puts the formation energy (no corrections) at -2.65 eV/f.u.

The structure belongs to space group P4/mmm (No. 123); the cell edges are 4.136, 4.136 and 7.709 Å and the angles 90.00°, 90.00° and 90.00°. Symmetry generates all atoms from Th at (0.000, 0.000, 0.000), Cu at (0.000, 0.000, 0.500), Cu at (0.000, 0.500, 0.312), Cu at (0.500, 0.500, 0.500) and Si at (0.500, 0.500, 0.156).

=====

Entry 2:
Density functional theory data (PBE-GGA) for crystalline Na2NiGe4Pd3 at its relaxed geometry.

The formation energy from the elements comes out at -0.3174 eV/atom.

The structure belongs to space group P-4m2 (No. 115); the cell edges are 4.214, 4.214 and 10.481 Å and the angles 90.00°, 90.00° and 90.00°. Symmetry generates all atoms from Na at (0.000, 0.500, 0.242), Ni at (0.500, 0.500, 0.000), Ge at (0.000, 0.000, 0.500), Ge at (0.000, 0.500, 0.879), Ge at (0.500, 0.500, 0.500), Pd at (0.000, 0.000, 0.000) and Pd at (0.000, 0.500, 0.640).

=====

Entry 3:
Density functional theory data (PBE-GGA) for crystalline HfTlTe2 at its relaxed geometry.

The calculation puts the formation energy (no corrections) at -1.61 eV/f.u.

The structure belongs to space group C2/c (No. 15); the cell edges are 7.980, 13.351 and 6.440 Å and the angles 90.00°, 117.70° and 90.00°. Symmetry generates all atoms from Hf at (0.000, 0.001, 0.250), Tl at (0.000, 0.387, 0.750) and Te at (0.223, 0.124, 0.632).

=====

Entry 4:
Density functional theory data (PBE-GGA) for crystalline RhO2F4 at its relaxed geometry.

The calculation puts the formation energy (no corrections) at -6.75 eV/f.u.

The structure belongs to space group P-1 (No. 2); the cell edges are 3.150, 4.415 and 7.812 Å and the angles 77.25°, 83.30° and 89.90°. Symmetry generates all atoms from Rh at (0.000, 0.000, 0.000), O at (0.381, 0.391, 0.503), F at (0.057, 0.819, 0.798) and F at (0.471, 0.737, 0.103).

=====

Entry 5:
Density functional theory data (PBE-GGA) for crystalline BePb2W at its relaxed geometry.

The formation energy from the elements comes out at 1.1713 eV/atom.

The structure belongs to space group P4/mmm (No. 123); the cell edges are 3.124, 3.124 and 8.552 Å and the angles 90.00°, 90.00° and 90.00°. Symmetry generates all atoms from Be at (0.000, 0.000, 0.000), Pb at (0.500, 0.500, 0.241) and W at (0.000, 0.000, 0.500).

=====

Entry 6:
Density functional theory data (PBE-GGA) for crystalline KOs2Cl at its relaxed geometry.

The calculation puts the formation energy (no corrections) at 1.40 eV/f.u.

The structure belongs to space group Cm (No. 8); the cell edges are 7.024, 3.600 and 8.148 Å and the angles 90.00°, 108.16° and 90.00°. Symmetry generates all atoms from K at (0.000, 0.000, 0.000), Os at (0.170, 0.000, 0.655), Os at (0.447, 0.000, 0.540) and Cl at (0.287, 0.500, 0.277).

=====

no.,size of the total moment (μB per atom)
1,0.000
2,0.000
3,0.000
4,0.377
5,0.000
6,0.000